Entry 1:
KTc3Ir2 after structural relaxation. Source: OQMD, functional PBE.

Structure (extended XYZ):
```
6
Lattice="-2.0051 -0.5021 -3.8047 1.7198 -3.4279 2.0099 -6.9763 -1.2477 3.8412" Properties=species:S:1:pos:R:3 pbc="T T T"
Ir -5.3623 -3.4973 3.2875
Tc -6.6907 -2.5375 1.3971
Ir -1.8993 -1.6805 -1.2411
Tc -0.5709 -2.6403 0.6493
K -3.4881 -0.6239 1.9206
Tc 0.0000 0.0000 0.0000
```

Computed properties:
Calculated volume in A^3/atom: 21.8
VASP energy in Ry per atom: -0.5719

Entry 2:
KTe5Ir3 after structural relaxation. Source: OQMD, functional PBE.

Structure (extended XYZ):
```
9
Lattice="5.9860 0.0000 0.0000 -2.9930 5.1841 0.0000 0.0000 0.0000 8.0490" Properties=species:S:1:pos:R:3 pbc="T T T"
Ir 2.9930 0.0000 4.0245
Te 0.0000 0.0000 4.0245
Ir -1.4965 2.5920 4.0245
Te 2.9930 1.7280 6.0881
K 0.0000 0.0000 0.0000
Te 0.0000 3.4560 6.0881
Ir 1.4965 2.5920 4.0245
Te 0.0000 3.4560 1.9609
Te 2.9930 1.7280 1.9609
```

Computed properties:
Calculated volume in A^3/atom: 27.8
VASP energy in Ry per atom: -0.3577

Entry 3:
KThIr after structural relaxation. Source: OQMD, functional PBE.

Structure (extended XYZ):
```
3
Lattice="-4.6931 1.2708 0.9969 -0.9484 3.7532 3.1061 -1.8414 4.2641 -1.7493" Properties=species:S:1:pos:R:3 pbc="T T T"
K -5.6122 6.9661 1.7652
Ir 0.0000 0.0000 0.0000
Th -1.8707 2.3220 0.5884
```

Computed properties:
Calculated volume in A^3/atom: 28.8
Excess energy over the best structure of this formula in the dataset in meV/atom: 0

Entry 4:
KTlIr after structural relaxation. Source: OQMD, functional PBE.

Structure (extended XYZ):
```
3
Lattice="-0.3417 -1.5056 4.6306 -3.3806 -3.2904 1.2534 1.3377 -4.5396 1.1954" Properties=species:S:1:pos:R:3 pbc="T T T"
K -0.5962 -2.3339 1.7699
Ir 0.0000 0.0000 0.0000
Tl -1.7885 -7.0017 5.3096
```

Computed properties:
Calculated volume in A^3/atom: 27.4
Excess energy over the best structure of this formula in the dataset in meV/atom: 0

Entry 5:
KZn2Ir after structural relaxation. Source: OQMD, functional PBE.

Structure (extended XYZ):
```
4
Lattice="-2.5556 0.8782 2.8031 -2.9347 -0.6052 -2.4861 -0.1705 -5.1067 1.4444" Properties=species:S:1:pos:R:3 pbc="T T T"
K -2.7452 0.1365 0.1585
Zn -2.8304 -2.4169 0.8807
Zn 0.0000 0.0000 0.0000
Ir -0.0852 -2.5534 0.7222
```

Computed properties:
Calculated volume in A^3/atom: 20.1
VASP energy in Ry per atom: -0.1844

Entry 6:
La7Ir3 after structural relaxation. Source: OQMD, functional PBE.

Structure (extended XYZ):
```
20
Lattice="10.2224 0.0000 0.0000 -5.1112 8.8529 0.0000 0.0000 0.0000 6.5413" Properties=species:S:1:pos:R:3 pbc="T T T"
La 8.2885 1.1166 1.5934
La 7.0832 4.0895 6.1181
La 5.1112 2.9510 3.1106
La -3.1773 7.7363 4.8641
La 3.1392 4.0895 6.1181
Ir 0.0000 3.3197 1.2838
La 1.9340 1.1166 1.5934
La 0.0000 8.1790 2.8475
La 3.1773 7.7363 4.8641
La 0.0000 2.2331 4.8641
La 5.1112 6.6197 1.5934
La 5.1112 0.6739 6.1181
Ir 7.3475 1.6598 4.5544
La 1.9720 4.7634 2.8475
Ir 2.2363 7.1930 1.2838
La -1.9720 4.7634 2.8475
Ir 5.1112 5.5332 4.5544
Ir -2.2363 7.1930 1.2838
La 0.0000 5.9019 6.3813
Ir 2.8749 1.6598 4.5544
```

Computed properties:
Calculated volume in A^3/atom: 29.6
ΔH_f (0 K) in eV per atom: -0.5937

Entry 7:
La3Ir2 after structural relaxation. Source: OQMD, functional PBE.

Structure (extended XYZ):
```
15
Lattice="-5.0950 4.8934 3.1914 -2.0471 -2.6293 6.9989 3.5508 4.2025 5.4607" Properties=species:S:1:pos:R:3 pbc="T T T"
Ir 0.0500 6.4562 8.2808
La -3.6699 2.9064 5.7511
Ir -5.4783 3.8395 8.0934
La 0.0000 0.0000 0.0000
Ir 1.8870 2.6272 7.5577
La 0.0786 3.5602 9.9000
La -2.8183 5.8115 8.3050
La 0.0572 4.3355 6.0159
La -0.7170 1.2910 3.1246
Ir -0.7259 0.7856 10.4457
Ir -3.6413 0.0104 7.3703
La -2.8743 5.1756 12.5265
La -3.6486 2.1311 9.6352
La -0.7731 0.6551 7.3460
Ir -2.8654 5.6810 5.2054
```

Computed properties:
Calculated volume in A^3/atom: 26.8
ΔH_f (0 K) in eV per atom: -0.6908

Entry 8:
La5Ir3 after structural relaxation. Source: OQMD, functional PBE.

Structure (extended XYZ):
```
32
Lattice="-7.7343 -8.3593 -0.8532 2.7432 -3.6080 10.4825 -4.6356 4.0239 2.5981" Properties=species:S:1:pos:R:3 pbc="T T T"
Ir 0.7923 -1.3011 5.5659
La -4.6074 0.3769 6.4085
Ir -7.5839 -3.6965 5.0196
La -5.4149 -1.6995 3.4094
La -6.8868 -8.5717 7.6504
Ir -1.5255 0.7108 6.8650
La -8.6313 -5.1850 7.8432
La 0.0000 0.0000 0.0000
La -6.8197 -6.5311 4.6098
Ir -7.7001 -7.1086 10.0968
Ir -4.3607 -2.2349 8.5068
La -2.8976 0.2570 9.6451
Ir -7.9235 -0.6586 1.8468
Ir -7.2816 -6.6225 1.5400
La -3.4910 -8.7420 9.1989
Ir -4.4222 -6.8184 6.9453
La -2.4956 -5.9836 4.8147
La -1.7834 -2.3008 7.0439
La -2.3178 2.0119 1.2990
La -8.0458 -3.7879 1.9498
La -2.5238 -2.3367 1.0042
La -1.7162 -0.2602 4.0033
La -10.3411 -5.0650 4.6066
La -2.6046 -3.2669 10.8514
Ir -5.6056 -2.6706 0.5478
La -4.8134 -3.9717 6.1137
Ir -2.8868 -3.1369 3.9830
La -5.2355 -5.3553 9.3917
La -1.4904 -5.8246 8.2501
La -4.5244 -5.2540 1.9530
Ir -4.2444 1.1772 3.4297
Ir -0.0273 -3.3328 9.3884
```

Computed properties:
Calculated volume in A^3/atom: 27.2
ΔH_f (0 K) in eV per atom: -0.6791

Entry 9:
LiLa2Ir2 after structural relaxation. Source: OQMD, functional PBE.

Structure (extended XYZ):
```
10
Lattice="-6.2346 -0.3803 4.6498 -3.8107 -4.0622 -5.4418 1.3293 -3.2756 1.5144" Properties=species:S:1:pos:R:3 pbc="T T T"
La -6.6555 -5.2945 -0.7270
La -5.8502 -3.3305 2.8142
La -2.0605 -2.4237 1.4494
Ir -4.5162 -0.8088 2.2146
Ir -7.8024 -2.9242 0.5236
Li 0.0000 0.0000 0.0000
Ir -2.2429 -1.5184 -1.3156
Li -5.0227 -2.2213 -0.3960
Ir -5.5291 -3.6337 -3.0066
La -2.8659 -4.3877 -2.0918
```

Computed properties:
Calculated volume in A^3/atom: 23.3
VASP energy in Ry per atom: -0.4702

Entry 10:
LiLaNbIr after structural relaxation. Source: OQMD, functional PBE.

Structure (extended XYZ):
```
4
Lattice="4.2539 -1.3807 1.3968 2.6350 2.8373 2.6381 0.7659 -1.0320 4.5057" Properties=species:S:1:pos:R:3 pbc="T T T"
Nb 1.9137 0.1062 2.1351
Li 5.7410 0.3185 6.4055
La 3.8273 0.2123 4.2703
Ir 0.0000 0.0000 0.0000
```

Computed properties:
Calculated volume in A^3/atom: 18.2
Excess energy over the best structure of this formula in the dataset in meV/atom: 0

Entry 11:
LiLaNbIr after structural relaxation. Source: OQMD, functional PBE.

Structure (extended XYZ):
```
4
Lattice="0.0000 3.4060 3.4060 3.4060 0.0000 3.4060 3.4060 3.4060 0.0000" Properties=species:S:1:pos:R:3 pbc="T T T"
Nb 0.0000 0.0000 0.0000
Li 5.1089 5.1089 5.1089
Ir 1.7030 1.7030 1.7030
La 3.4060 3.4060 3.4060
```

Computed properties:
Calculated volume in A^3/atom: 19.8
Excess energy over the best structure of this formula in the dataset in meV/atom: 104

Entry 12:
LiLaNbIr after structural relaxation. Source: OQMD, functional PBE.

Structure (extended XYZ):
```
4
Lattice="0.0000 3.3168 3.3168 3.3168 0.0000 3.3168 3.3168 3.3168 0.0000" Properties=species:S:1:pos:R:3 pbc="T T T"
La 1.6584 1.6584 1.6584
Nb 0.0000 0.0000 0.0000
Li 4.9751 4.9751 4.9751
Ir 3.3168 3.3168 3.3168
```

Computed properties:
Calculated volume in A^3/atom: 18.2
Excess energy over the best structure of this formula in the dataset in meV/atom: 345